Compound: PmZrIrRu
Source: Alexandria
Functional: PBE
Structure: relaxed

The structure in CIF format:
```
data_PmZrIrRu
_chemical_formula_sum 'Pm1 Zr1 Ir1 Ru1'
_symmetry_space_group_name_H-M 'P 1'
_symmetry_Int_Tables_number 1
_cell_length_a 4.8006
_cell_length_b 4.8006
_cell_length_c 4.8006
_cell_angle_alpha 60.00
_cell_angle_beta 60.00
_cell_angle_gamma 60.00
loop_
_symmetry_equiv_pos_as_xyz
'x,y,z'
loop_
_atom_site_label
_atom_site_type_symbol
_atom_site_fract_x
_atom_site_fract_y
_atom_site_fract_z
Pm1 Pm 0.0000 0.0000 0.0000
Zr1 Zr 0.5000 0.5000 0.5000
Ir1 Ir 0.7500 0.7500 0.7500
Ru1 Ru 0.2500 0.2500 0.2500
```

## Properties
Its total energy is -8.338 eV/atom. Its formation energy is -479.2 meV/atom.

***

Compound: CdHgS2
Source: Alexandria
Functional: PBE
Structure: relaxed

The structure in CIF format:
```
data_CdHgS2
_chemical_formula_sum 'Cd2 Hg2 S4'
_symmetry_space_group_name_H-M 'P 1'
_symmetry_Int_Tables_number 1
_cell_length_a 4.2208
_cell_length_b 6.8822
_cell_length_c 7.2957
_cell_angle_alpha 90.00
_cell_angle_beta 90.06
_cell_angle_gamma 90.00
loop_
_symmetry_equiv_pos_as_xyz
'x,y,z'
loop_
_atom_site_label
_atom_site_type_symbol
_atom_site_fract_x
_atom_site_fract_y
_atom_site_fract_z
Cd1 Cd 0.2486 0.0000 0.0824
Cd2 Cd 0.7514 0.5000 0.9176
Hg1 Hg 0.2506 0.5024 0.4150
Hg2 Hg 0.7494 0.0024 0.5850
S1 S 0.2490 0.1242 0.4144
S2 S 0.2504 0.6261 0.0794
S3 S 0.7496 0.1261 0.9206
S4 S 0.7510 0.6242 0.5856
```

## Properties
The calculation puts the raw formation energy at -8.82 kcal/mol of atoms. Its total energy is -2.750 eV/atom.

***

Compound: Sr2LiLaZr
Source: Alexandria
Functional: PBE
Structure: relaxed

The structure in CIF format:
```
data_Sr2LiLaZr
_chemical_formula_sum 'Sr2 Li1 La1 Zr1'
_symmetry_space_group_name_H-M 'P 1'
_symmetry_Int_Tables_number 1
_cell_length_a 6.4198
_cell_length_b 6.4198
_cell_length_c 5.2763
_cell_angle_alpha 90.00
_cell_angle_beta 90.00
_cell_angle_gamma 90.00
loop_
_symmetry_equiv_pos_as_xyz
'x,y,z'
loop_
_atom_site_label
_atom_site_type_symbol
_atom_site_fract_x
_atom_site_fract_y
_atom_site_fract_z
Sr1 Sr 0.0000 0.5000 0.0000
Sr2 Sr 0.5000 0.0000 0.0000
Li1 Li 0.0000 0.0000 0.5000
La1 La 0.5000 0.5000 0.0000
Zr1 Zr 0.5000 0.5000 0.5000
```

## Properties
Its total energy is -2.893 eV/atom. Its formation energy is 857.2 meV/atom.